Here is crystalline KEu2Dy at its relaxed geometry from Alexandria. Energies are from PBE.

Cell: 3.8054 3.8054 41.6633 Å, 90.00 90.00 120.00°
With the nearest neighbours (Å) after each atom.
Sites, in units of the cell vectors:
K: 0.0000 0.0000 0.0000  6 K 3.81, 2 Eu 3.96
K: 0.3333 0.6667 0.6667  6 K 3.81, 2 Eu 3.96
K: 0.6667 0.3333 0.3333  6 K 3.81, 2 Eu 3.96
Eu: 0.0000 0.0000 0.0951  3 Dy 3.71, 6 Eu 3.81, 1 K 3.96
Eu: 0.0000 0.0000 0.9049  3 Dy 3.71, 6 Eu 3.81, 1 K 3.96
Eu: 0.3333 0.6667 0.5716  3 Dy 3.71, 6 Eu 3.81, 1 K 3.96
Eu: 0.3333 0.6667 0.7617  3 Dy 3.71, 6 Eu 3.81, 1 K 3.96
Eu: 0.6667 0.3333 0.2383  3 Dy 3.71, 6 Eu 3.81, 1 K 3.96
Eu: 0.6667 0.3333 0.4284  3 Dy 3.71, 6 Eu 3.81, 1 K 3.96
Dy: 0.0000 0.0000 0.5000  6 Eu 3.71, 6 Dy 3.81
Dy: 0.3333 0.6667 0.1667  6 Eu 3.71, 6 Dy 3.81
Dy: 0.6667 0.3333 0.8333  6 Eu 3.71, 6 Dy 3.81

symmetry = R-3m, No. 166
E above lowest polymorph = 25 meV/atom
calculated volume = 43.54 Å³/atom



Here is crystalline LaEuDy at its relaxed geometry from Alexandria. Energies are from PBE.

Cell: 3.7053 3.7053 9.1224 Å, 90.00 90.00 120.00°
With the nearest neighbours (Å) after each atom.
Sites, in units of the cell vectors:
La: 0.0000 0.0000 0.0000  3 Dy 3.58, 6 La 3.71, 3 Eu 3.86
Eu: 0.6667 0.3333 0.3523  6 Eu 3.71, 3 Dy 3.72, 3 La 3.86
Dy: 0.3333 0.6667 0.6857  3 La 3.58, 6 Dy 3.71, 3 Eu 3.72

symmetry = P3m1, No. 156
E above lowest polymorph = 0 meV/atom
calculated volume = 36.15 Å³/atom



Here is crystalline LaEuDy at its relaxed geometry from Alexandria. Energies are from PBE.

Cell: 3.7368 3.7368 15.6480 Å, 90.00 90.00 90.00°
With the nearest neighbours (Å) after each atom.
Sites, in units of the cell vectors:
La: 0.0000 0.0000 0.0000  4 Dy 3.57, 4 La 3.74, 4 Eu 3.84
La: 0.5000 0.5000 0.5000  4 Dy 3.57, 4 La 3.74, 4 Eu 3.84
Eu: 0.0000 0.0000 0.3218  4 Dy 3.74, 4 Eu 3.74, 4 La 3.84
Eu: 0.5000 0.5000 0.8218  4 Dy 3.74, 4 Eu 3.74, 4 La 3.84
Dy: 0.0000 0.0000 0.6530  4 La 3.57, 4 Eu 3.74, 4 Dy 3.74
Dy: 0.5000 0.5000 0.1530  4 La 3.57, 4 Eu 3.74, 4 Dy 3.74

symmetry = I4mm, No. 107
E above lowest polymorph = 3 meV/atom
calculated volume = 36.42 Å³/atom



Here is crystalline LaEuDyLu at its relaxed geometry from Alexandria. Energies are from PBE.

Cell: 8.2031 8.2031 8.2031 Å, 90.00 90.00 90.00°
With the nearest neighbours (Å) after each atom.
Sites, in units of the cell vectors:
La: 0.0000 0.0000 0.0000  4 Lu 3.55, 4 Eu 3.55
La: 0.0000 0.5000 0.5000  4 Lu 3.55, 4 Eu 3.55
La: 0.5000 0.0000 0.5000  4 Lu 3.55, 4 Eu 3.55
La: 0.5000 0.5000 0.0000  4 Lu 3.55, 4 Eu 3.55
Eu: 0.2500 0.2500 0.2500  4 La 3.55, 4 Dy 3.55
Eu: 0.2500 0.7500 0.7500  4 La 3.55, 4 Dy 3.55
Eu: 0.7500 0.2500 0.7500  4 La 3.55, 4 Dy 3.55
Eu: 0.7500 0.7500 0.2500  4 La 3.55, 4 Dy 3.55
Dy: 0.0000 0.0000 0.5000  4 Eu 3.55, 4 Lu 3.55
Dy: 0.0000 0.5000 0.0000  4 Eu 3.55, 4 Lu 3.55
Dy: 0.5000 0.0000 0.0000  4 Eu 3.55, 4 Lu 3.55
Dy: 0.5000 0.5000 0.5000  4 Eu 3.55, 4 Lu 3.55
Lu: 0.2500 0.2500 0.7500  4 La 3.55, 4 Dy 3.55
Lu: 0.2500 0.7500 0.2500  4 La 3.55, 4 Dy 3.55
Lu: 0.7500 0.2500 0.2500  4 La 3.55, 4 Dy 3.55
Lu: 0.7500 0.7500 0.7500  4 La 3.55, 4 Dy 3.55

symmetry = F-43m, No. 216
calculated total energy = -95.10 eV for the cell shown
calculated volume = 34.50 Å³/atom



Here is crystalline LaNdEuDy at its relaxed geometry from Alexandria. Energies are from PBE.

Cell: 8.3247 8.3247 8.3247 Å, 90.00 90.00 90.00°
With the nearest neighbours (Å) after each atom.
Sites, in units of the cell vectors:
La: 0.0000 0.0000 0.0000  4 Eu 3.60, 4 Dy 3.60
La: 0.0000 0.5000 0.5000  4 Eu 3.60, 4 Dy 3.60
La: 0.5000 0.0000 0.5000  4 Eu 3.60, 4 Dy 3.60
La: 0.5000 0.5000 0.0000  4 Eu 3.60, 4 Dy 3.60
Nd: 0.0000 0.0000 0.5000  4 Dy 3.60, 4 Eu 3.60
Nd: 0.0000 0.5000 0.0000  4 Dy 3.60, 4 Eu 3.60
Nd: 0.5000 0.0000 0.0000  4 Dy 3.60, 4 Eu 3.60
Nd: 0.5000 0.5000 0.5000  4 Dy 3.60, 4 Eu 3.60
Eu: 0.2500 0.2500 0.2500  4 La 3.60, 4 Nd 3.60
Eu: 0.2500 0.7500 0.7500  4 La 3.60, 4 Nd 3.60
Eu: 0.7500 0.2500 0.7500  4 La 3.60, 4 Nd 3.60
Eu: 0.7500 0.7500 0.2500  4 La 3.60, 4 Nd 3.60
Dy: 0.2500 0.2500 0.7500  4 La 3.60, 4 Nd 3.60
Dy: 0.2500 0.7500 0.2500  4 La 3.60, 4 Nd 3.60
Dy: 0.7500 0.2500 0.2500  4 La 3.60, 4 Nd 3.60
Dy: 0.7500 0.7500 0.7500  4 Nd 3.60, 4 La 3.60

symmetry = F-43m, No. 216
calculated total energy = -96.28 eV for the cell shown
calculated volume = 36.06 Å³/atom



Here is crystalline LaEuDyPb at its relaxed geometry from Alexandria. Energies are from PBE.

Cell: 7.9819 7.9819 7.9819 Å, 90.00 90.00 90.00°
With the nearest neighbours (Å) after each atom.
Sites, in units of the cell vectors:
La: 0.0000 0.0000 0.0000  4 Eu 3.46, 4 Pb 3.46
La: 0.0000 0.5000 0.5000  4 Pb 3.46, 4 Eu 3.46
La: 0.5000 0.0000 0.5000  4 Pb 3.46, 4 Eu 3.46
La: 0.5000 0.5000 0.0000  4 Pb 3.46, 4 Eu 3.46
Eu: 0.2500 0.2500 0.2500  4 La 3.46, 4 Dy 3.46
Eu: 0.2500 0.7500 0.7500  4 La 3.46, 4 Dy 3.46
Eu: 0.7500 0.2500 0.7500  4 La 3.46, 4 Dy 3.46
Eu: 0.7500 0.7500 0.2500  4 La 3.46, 4 Dy 3.46
Dy: 0.0000 0.0000 0.5000  4 Pb 3.46, 4 Eu 3.46
Dy: 0.0000 0.5000 0.0000  4 Pb 3.46, 4 Eu 3.46
Dy: 0.5000 0.0000 0.0000  4 Pb 3.46, 4 Eu 3.46
Dy: 0.5000 0.5000 0.5000  4 Pb 3.46, 4 Eu 3.46
Pb: 0.2500 0.2500 0.7500  4 La 3.46, 4 Dy 3.46
Pb: 0.2500 0.7500 0.2500  4 La 3.46, 4 Dy 3.46
Pb: 0.7500 0.2500 0.2500  4 La 3.46, 4 Dy 3.46
Pb: 0.7500 0.7500 0.7500  4 La 3.46, 4 Dy 3.46

symmetry = F-43m, No. 216
calculated total energy = -96.75 eV for the cell shown
calculated volume = 31.78 Å³/atom



Here is crystalline LaEuDySn at its relaxed geometry from Alexandria. Energies are from PBE.

Cell: 7.8807 7.8807 7.8807 Å, 90.00 90.00 90.00°
With the nearest neighbours (Å) after each atom.
Sites, in units of the cell vectors:
La: 0.0000 0.0000 0.0000  4 Sn 3.41, 4 Eu 3.41
La: 0.0000 0.5000 0.5000  4 Sn 3.41, 4 Eu 3.41
La: 0.5000 0.0000 0.5000  4 Sn 3.41, 4 Eu 3.41
La: 0.5000 0.5000 0.0000  4 Sn 3.41, 4 Eu 3.41
Eu: 0.2500 0.2500 0.7500  4 La 3.41, 4 Dy 3.41
Eu: 0.2500 0.7500 0.2500  4 La 3.41, 4 Dy 3.41
Eu: 0.7500 0.2500 0.2500  4 La 3.41, 4 Dy 3.41
Eu: 0.7500 0.7500 0.7500  4 La 3.41, 4 Dy 3.41
Dy: 0.0000 0.0000 0.5000  4 Sn 3.41, 4 Eu 3.41
Dy: 0.0000 0.5000 0.0000  4 Sn 3.41, 4 Eu 3.41
Dy: 0.5000 0.0000 0.0000  4 Sn 3.41, 4 Eu 3.41
Dy: 0.5000 0.5000 0.5000  4 Sn 3.41, 4 Eu 3.41
Sn: 0.2500 0.2500 0.2500  4 La 3.41, 4 Dy 3.41
Sn: 0.2500 0.7500 0.7500  4 La 3.41, 4 Dy 3.41
Sn: 0.7500 0.2500 0.7500  4 La 3.41, 4 Dy 3.41
Sn: 0.7500 0.7500 0.2500  4 La 3.41, 4 Dy 3.41

symmetry = F-43m, No. 216
calculated total energy = -99.67 eV for the cell shown
calculated volume = 30.59 Å³/atom



Here is crystalline LaTbEuDy at its relaxed geometry from Alexandria. Energies are from PBE.

Cell: 8.2605 8.2605 8.2605 Å, 90.00 90.00 90.00°
With the nearest neighbours (Å) after each atom.
Sites, in units of the cell vectors:
La: 0.0000 0.0000 0.0000  4 Dy 3.58, 4 Eu 3.58
La: 0.0000 0.5000 0.5000  4 Dy 3.58, 4 Eu 3.58
La: 0.5000 0.0000 0.5000  4 Dy 3.58, 4 Eu 3.58
La: 0.5000 0.5000 0.0000  4 Dy 3.58, 4 Eu 3.58
Tb: 0.0000 0.0000 0.5000  4 Eu 3.58, 4 Dy 3.58
Tb: 0.0000 0.5000 0.0000  4 Eu 3.58, 4 Dy 3.58
Tb: 0.5000 0.0000 0.0000  4 Eu 3.58, 4 Dy 3.58
Tb: 0.5000 0.5000 0.5000  4 Eu 3.58, 4 Dy 3.58
Eu: 0.2500 0.2500 0.2500  4 Tb 3.58, 4 La 3.58
Eu: 0.2500 0.7500 0.7500  4 Tb 3.58, 4 La 3.58
Eu: 0.7500 0.2500 0.7500  4 Tb 3.58, 4 La 3.58
Eu: 0.7500 0.7500 0.2500  4 Tb 3.58, 4 La 3.58
Dy: 0.2500 0.2500 0.7500  4 Tb 3.58, 4 La 3.58
Dy: 0.2500 0.7500 0.2500  4 Tb 3.58, 4 La 3.58
Dy: 0.7500 0.2500 0.2500  4 Tb 3.58, 4 La 3.58
Dy: 0.7500 0.7500 0.7500  4 La 3.58, 4 Tb 3.58

symmetry = F-43m, No. 216
calculated total energy = -95.43 eV for the cell shown
calculated volume = 35.23 Å³/atom